VASP calculation (PBE) on a geometry-optimized MoCl6 structure.

a b c (Å): 8.292 8.292 8.292
angles (deg): 90.00 90.00 90.00
Element x y z (fractional)
Mo: 0.000 0.000 0.000
Mo: 0.500 0.500 0.500
Cl: 0.000 0.000 0.279
Cl: 0.000 0.000 0.721
Cl: 0.000 0.279 0.000
Cl: 0.000 0.721 0.000
Cl: 0.221 0.500 0.500
Cl: 0.279 0.000 0.000
Cl: 0.500 0.221 0.500
Cl: 0.500 0.500 0.221
Cl: 0.500 0.500 0.779
Cl: 0.500 0.779 0.500
Cl: 0.721 0.000 0.000
Cl: 0.779 0.500 0.500

## Properties
* spin magnetization: 0.000 μB/atom
* formation energy from raw total energies: -722 meV per atom

---

VASP calculation (PBE) on a geometry-optimized MoCl5 structure.

a b c (Å): 6.948 7.128 9.097
angles (deg): 105.47 94.82 115.83
Element x y z (fractional)
Mo: 0.119 0.063 0.221
Mo: 0.881 0.937 0.779
Cl: 0.010 0.769 0.954
Cl: 0.198 0.354 0.438
Cl: 0.221 0.868 0.340
Cl: 0.242 0.122 0.772
Cl: 0.452 0.235 0.162
Cl: 0.548 0.765 0.838
Cl: 0.758 0.878 0.228
Cl: 0.779 0.132 0.660
Cl: 0.802 0.646 0.562
Cl: 0.990 0.231 0.046

## Properties
* spin magnetization: 0.167 μB/atom
* formation energy from raw total energies: -796 meV per atom

---

VASP calculation (PBE) on a geometry-optimized MoCl4 structure.

a b c (Å): 9.511 9.511 3.001
angles (deg): 90.00 90.00 90.00
Element x y z (fractional)
Mo: 0.000 0.000 0.000
Mo: 0.500 0.500 0.500
Cl: 0.049 0.208 0.500
Cl: 0.208 0.951 0.500
Cl: 0.292 0.549 0.000
Cl: 0.451 0.292 0.000
Cl: 0.549 0.708 0.000
Cl: 0.708 0.451 0.000
Cl: 0.792 0.049 0.500
Cl: 0.951 0.792 0.500

## Properties
* spin magnetization: 0.023 μB/atom
* formation energy from raw total energies: -594 meV per atom

---

VASP calculation (PBE) on a geometry-optimized MoCl structure.

a b c (Å): 3.159 9.067 9.185
angles (deg): 90.00 90.00 90.00
Element x y z (fractional)
Mo: 0.250 0.055 0.089
Mo: 0.250 0.445 0.089
Mo: 0.250 0.750 0.111
Mo: 0.750 0.250 0.889
Mo: 0.750 0.555 0.911
Mo: 0.750 0.945 0.911
Cl: 0.250 0.250 0.275
Cl: 0.250 0.583 0.314
Cl: 0.250 0.917 0.314
Cl: 0.750 0.083 0.686
Cl: 0.750 0.417 0.686
Cl: 0.750 0.750 0.725

## Properties
* spin magnetization: 0.001 μB/atom
* formation energy from raw total energies: -283 meV per atom

---

VASP calculation (PBE) on a geometry-optimized MoCl4 structure.

a b c (Å): 12.749 12.749 6.561
angles (deg): 90.00 90.00 120.00
Element x y z (fractional)
Mo: 0.170 0.340 0.000
Mo: 0.170 0.830 0.000
Mo: 0.340 0.170 0.000
Mo: 0.660 0.830 0.000
Mo: 0.830 0.170 0.000
Mo: 0.830 0.660 0.000
Cl: 0.000 0.169 0.809
Cl: 0.000 0.324 0.203
Cl: 0.000 0.676 0.797
Cl: 0.000 0.831 0.191
Cl: 0.169 0.000 0.809
Cl: 0.169 0.169 0.191
Cl: 0.169 0.473 0.772
Cl: 0.169 0.695 0.228
Cl: 0.305 0.473 0.228
Cl: 0.305 0.831 0.772
Cl: 0.324 0.000 0.203
Cl: 0.324 0.324 0.797
Cl: 0.473 0.169 0.772
Cl: 0.473 0.305 0.228
Cl: 0.527 0.695 0.772
Cl: 0.527 0.831 0.228
Cl: 0.676 0.000 0.797
Cl: 0.676 0.676 0.203
Cl: 0.695 0.169 0.228
Cl: 0.695 0.527 0.772
Cl: 0.831 0.000 0.191
Cl: 0.831 0.305 0.772
Cl: 0.831 0.527 0.228
Cl: 0.831 0.831 0.809

## Properties
* spin magnetization: 0.400 μB/atom
* formation energy from raw total energies: -820 meV per atom

---

VASP calculation (PBE) on a geometry-optimized MoCl structure.

a b c (Å): 2.944 2.944 12.462
angles (deg): 90.00 90.00 120.00
Element x y z (fractional)
Mo: 0.000 0.000 0.000
Mo: 0.333 0.667 0.667
Mo: 0.667 0.333 0.333
Cl: 0.000 0.000 0.500
Cl: 0.333 0.667 0.167
Cl: 0.667 0.333 0.833

## Properties
* spin magnetization: 0.000 μB/atom
* formation energy from raw total energies: 536 meV per atom

---

VASP calculation (PBE) on a geometry-optimized MoCl structure.

a b c (Å): 3.007 3.311 9.010
angles (deg): 90.00 92.33 90.00
Element x y z (fractional)
Mo: 0.166 0.250 0.089
Mo: 0.834 0.750 0.911
Cl: 0.278 0.750 0.699
Cl: 0.722 0.250 0.301

## Properties
* spin magnetization: 0.000 μB/atom
* formation energy from raw total energies: -411 meV per atom

---

VASP calculation (PBE) on a geometry-optimized MoCl structure.

a b c (Å): 11.378 3.227 6.225
angles (deg): 90.00 90.00 90.00
Element x y z (fractional)
Mo: 0.000 0.103 0.000
Mo: 0.107 0.646 0.739
Mo: 0.393 0.354 0.239
Mo: 0.500 0.897 0.500
Mo: 0.607 0.354 0.239
Mo: 0.893 0.646 0.739
Cl: 0.000 0.531 0.390
Cl: 0.222 0.859 0.071
Cl: 0.278 0.141 0.571
Cl: 0.500 0.469 0.890
Cl: 0.722 0.141 0.571
Cl: 0.778 0.859 0.071

## Properties
* spin magnetization: 0.000 μB/atom
* formation energy from raw total energies: -85 meV per atom